Compound: ZrTi2VN
Source: Alexandria via LeMat-Bulk
Functional: PBE
Structure: optimized geometry

Unit cell a=4.274 b=4.274 c=4.014 alpha=90.00 beta=90.00 gamma=90.00
Space group P4/mmm (No. 123)
Symmetry-distinct sites (fractional):
Zr (0.000, 0.000, 0.000) [1 per cell]
Ti (0.000, 0.500, 0.500) [2 per cell]
V (0.500, 0.500, 0.000) [1 per cell]
N (0.500, 0.500, 0.500) [1 per cell]

Calculated values
offset from the most stable computed form: 33 meV/atom
uncorrected formation energy: -13.94 kcal/mol of atoms